Entry 1:
Compound: La4ZnSi
Source: the Alexandria database
Functional: PBE-GGA
Structure: relaxed

a b c (Å): 6.3589 6.3589 6.3589
angles (deg): 60.00 60.00 60.00
Atoms (fractional coordinates):
1 La 0.1229 0.1229 0.1229
2 La 0.1229 0.1229 0.6314
3 La 0.1229 0.6314 0.1229
4 La 0.6314 0.1229 0.1229
5 Zn 0.5000 0.5000 0.5000
6 Si 0.7500 0.7500 0.7500

formation energy (no corrections) = 0.396 eV/atom
energy above the lowest structure with this stoichiometry = 0.682 eV per atom
uncorrected energy = -4.005 eV per atom

Entry 2:
Compound: FeTcHg2
Source: the Alexandria database
Functional: PBE-GGA
Structure: relaxed

a b c (Å): 5.0607 5.0607 2.8808
angles (deg): 90.17 90.17 110.42
Atoms (fractional coordinates):
1 Fe 0.0000 0.0000 0.0000
2 Tc 0.5000 0.5000 0.0000
3 Hg 0.0000 0.5000 0.5000
4 Hg 0.5000 0.0000 0.5000

energy above the lowest structure with this stoichiometry = 0.270 eV per atom
ΔH_f (0 K) = 607.1 meV per atom
uncorrected energy = -4.251 eV per atom

Entry 3:
Compound: Sr2Ca2Bi2S
Source: the Alexandria database
Functional: PBE-GGA
Structure: relaxed

a b c (Å): 9.5123 9.5123 9.5123
angles (deg): 147.94 147.94 45.97
Atoms (fractional coordinates):
1 Sr 0.1736 0.1736 0.0000
2 Sr 0.8264 0.8264 0.0000
3 Ca 0.0000 0.5000 0.5000
4 Ca 0.5000 0.0000 0.5000
5 Bi 0.3682 0.3682 0.0000
6 Bi 0.6318 0.6318 0.0000
7 S 0.0000 0.0000 0.0000

formation energy (no corrections) = -1.258 eV/atom
uncorrected energy = -4.009 eV per atom

Entry 4:
Compound: La2ReC3
Source: the Alexandria database
Functional: PBE-GGA
Structure: relaxed

a b c (Å): 6.3941 6.3941 12.9118
angles (deg): 90.00 90.00 125.00
Atoms (fractional coordinates):
1 La 0.0571 0.9429 0.8599
2 La 0.1428 0.8572 0.4176
3 La 0.3572 0.6428 0.9176
4 La 0.4429 0.5571 0.3599
5 La 0.5571 0.4429 0.6401
6 La 0.6428 0.3572 0.0824
7 La 0.8572 0.1428 0.5824
8 La 0.9429 0.0571 0.1401
9 Re 0.2445 0.7555 0.6587
10 Re 0.2555 0.7445 0.1587
11 Re 0.7445 0.2555 0.8413
12 Re 0.7555 0.2445 0.3413
13 C 0.0300 0.4700 0.7500
14 C 0.0806 0.9194 0.6237
15 C 0.1529 0.8471 0.0389
16 C 0.3471 0.6529 0.5389
17 C 0.4194 0.5806 0.1237
18 C 0.4700 0.0300 0.2500
19 C 0.5300 0.9700 0.7500
20 C 0.5806 0.4194 0.8763
21 C 0.6529 0.3471 0.4611
22 C 0.8471 0.1529 0.9611
23 C 0.9194 0.0806 0.3763
24 C 0.9700 0.5300 0.2500

ΔH_f (0 K) = -156.3 meV per atom
uncorrected energy = -8.485 eV per atom

Entry 5:
Compound: LiCa2PbF8
Source: the Alexandria database
Functional: PBE-GGA
Structure: relaxed

a b c (Å): 3.9846 5.4581 7.7986
angles (deg): 85.83 89.53 87.91
Atoms (fractional coordinates):
1 Li 0.0000 0.0000 0.0000
2 Ca 0.4943 0.4620 0.7750
3 Ca 0.5057 0.5380 0.2250
4 Pb 0.0000 0.0000 0.5000
5 F 0.0169 0.3298 0.2935
6 F 0.0179 0.1811 0.7674
7 F 0.4320 0.7497 0.9708
8 F 0.4960 0.7624 0.4798
9 F 0.5040 0.2376 0.5202
10 F 0.5680 0.2503 0.0292
11 F 0.9821 0.8189 0.2326
12 F 0.9831 0.6702 0.7065

formation energy (no corrections) = -3.088 eV/atom
uncorrected energy = -5.137 eV per atom

Entry 6:
Compound: LaPm2Ho5Th
Source: the Alexandria database
Functional: PBE-GGA
Structure: relaxed

a b c (Å): 10.3519 10.3519 10.6067
angles (deg): 90.00 90.00 148.38
Atoms (fractional coordinates):
1 La 0.0838 0.9162 0.5000
2 La 0.9162 0.0838 0.0000
3 Pm 0.3854 0.6146 0.7795
4 Pm 0.3866 0.6134 0.3676
5 Pm 0.6134 0.3866 0.8676
6 Pm 0.6146 0.3854 0.2795
7 Ho 0.0201 0.9799 0.7850
8 Ho 0.1132 0.8868 0.0723
9 Ho 0.2035 0.7965 0.7583
10 Ho 0.2219 0.7781 0.3642
11 Ho 0.4835 0.5165 0.0759
12 Ho 0.5165 0.4835 0.5759
13 Ho 0.7781 0.2219 0.8642
14 Ho 0.7965 0.2035 0.2583
15 Ho 0.8868 0.1132 0.5723
16 Ho 0.9799 0.0201 0.2850
17 Th 0.2964 0.7036 0.0614
18 Th 0.7036 0.2964 0.5614

ΔH_f (0 K) = 166.6 meV per atom
uncorrected energy = -4.804 eV per atom